DFT (GGA+U) results for a relaxed NaInMo2O8 crystal.

a = 7.2363 Å, b = 7.2827 Å, c = 15.5451 Å
α = 91.22°, β = 92.69°, γ = 98.91°
Positions (direct):
Na  0.0199  0.1681  0.3604
Na  0.4641  0.8170  0.8580
Na  0.5359  0.1830  0.1420
Na  0.9801  0.8319  0.6396
In  0.1695  0.8024  0.1117
In  0.3185  0.2180  0.5892
In  0.6815  0.7820  0.4108
In  0.8305  0.1976  0.8883
Mo  0.0215  0.2598  0.1155
Mo  0.1564  0.7218  0.3565
Mo  0.3462  0.2779  0.8437
Mo  0.4623  0.7465  0.6098
Mo  0.5377  0.2535  0.3902
Mo  0.6538  0.7221  0.1563
Mo  0.8436  0.2782  0.6435
Mo  0.9785  0.7402  0.8845
O  0.0158  0.1651  0.5880
O  0.0811  0.4833  0.3469
O  0.1025  0.7949  0.7913
O  0.1266  0.1871  0.8890
O  0.1308  0.5003  0.1204
O  0.1531  0.7788  0.9732
O  0.1822  0.8205  0.2517
O  0.1998  0.1099  0.1062
O  0.3014  0.9166  0.6013
O  0.3238  0.1952  0.4494
O  0.3254  0.2598  0.7280
O  0.3394  0.5178  0.5803
O  0.3807  0.7635  0.4160
O  0.4060  0.5099  0.8771
O  0.4566  0.2519  0.2829
O  0.4725  0.8535  0.1161
O  0.5275  0.1465  0.8839
O  0.5434  0.7481  0.7171
O  0.5940  0.4901  0.1229
O  0.6193  0.2365  0.5840
O  0.6606  0.4822  0.4197
O  0.6746  0.7402  0.2720
O  0.6762  0.8048  0.5506
O  0.6986  0.0834  0.3987
O  0.8002  0.8901  0.8938
O  0.8178  0.1795  0.7483
O  0.8469  0.2212  0.0268
O  0.8692  0.4997  0.8796
O  0.8734  0.8129  0.1110
O  0.8975  0.2051  0.2087
O  0.9189  0.5167  0.6531
O  0.9842  0.8349  0.4120

Its space group is No. 2. The total magnetization comes out at 0.0 μB per formula unit. The energy above the most stable polymorph in this dataset is 0 meV per atom.